[1]
DFT (PBE-GGA) results for a relaxed UPRhSe crystal.

The structure in POSCAR format:
```
UPRhSe
1.0
3.967 0.000 0.000
0.000 3.967 0.000
0.000 0.000 9.118
Se P U Rh
2 2 2 2
direct
0.500 0.500 0.500
0.000 0.000 0.500
0.500 0.000 0.167
0.000 0.500 0.833
0.000 0.500 0.261
0.500 0.000 0.739
0.000 0.000 0.000
0.500 0.500 0.000
```

Properties
Formation energy from raw total energies: -0.810 eV per atom
Magnetic moment: 3.1 μB per cell

[2]
DFT (PBE-GGA) results for a relaxed Y4PRhSe2 crystal.

The structure in POSCAR format:
```
Y4PRhSe2
1.0
4.020 0.000 0.000
0.000 7.149 -0.211
0.000 2.450 6.629
Rh Se Y P
1 2 4 1
direct
0.500 0.500 0.000
0.500 0.000 0.500
0.000 0.000 0.000
0.500 0.727 0.254
0.500 0.273 0.746
0.000 0.729 0.758
0.000 0.271 0.242
0.000 0.500 0.500
```

Properties
Formation energy from raw total energies: -1.473 eV per atom
Magnetic moment: 0.0 μB per cell

[3]
DFT (PBE-GGA) results for a relaxed Si2PRh crystal.

The structure in POSCAR format:
```
Si2PRh
1.0
-3.820 -0.116 -5.866
-0.870 -0.498 -6.929
-2.486 -2.980 -5.827
Si P Rh
2 1 1
direct
0.245 0.245 0.245
0.002 0.002 0.002
0.504 0.504 0.504
0.749 0.749 0.749
```

Properties
Formation energy from raw total energies: -0.088 eV per atom
Magnetic moment: 0.0 μB per cell